Record 1
Computed, not measured: a relaxed As2AuSe crystal at the GGA-PBE level of DFT.

POSCAR file:
```
As2AuSe
1.0
3.528 -0.582 -1.518
-1.861 3.366 -0.546
0.870 1.655 6.516
Au As Se
1 2 1
direct
0.500 0.250 0.750 Au
0.011 0.506 0.516 As
0.989 0.994 0.984 As
0.500 0.750 0.250 Se
```

***

Record 2
As2Au2Se | Alexandria via LeMat-Bulk | GGA-PBE | relaxed; distance to the lowest polymorph of the same formula = 5.8 kJ per mole of atoms
1.0
-7.352 -0.010 -0.558
0.133 -7.190 -1.628
-0.287 -0.864 3.794
Se Au As
2 4 4
direct
0.500 0.500 0.000 Se
0.000 0.000 0.000 Se
0.846 0.654 0.000 Au
0.654 0.154 0.000 Au
0.154 0.346 0.000 Au
0.346 0.846 0.000 Au
0.380 0.120 0.500 As
0.880 0.380 0.500 As
0.620 0.880 0.500 As
0.120 0.620 0.500 As

***

Record 3
SiAsAuSe2 | Alexandria via LeMat-Bulk | GGA-PBE | relaxed; distance to the lowest polymorph of the same formula = 27.3 kJ per mole of atoms
1.0
-2.379 -4.114 -2.048
2.515 -3.095 3.297
-3.596 0.487 3.200
Au Si Se As
1 1 2 1
direct
0.000 0.000 0.000 Au
0.500 0.500 0.500 Si
0.000 0.500 0.000 Se
0.500 0.000 0.000 Se
0.000 0.000 0.500 As

***

Record 4
SiAsAuSe2 | Alexandria via LeMat-Bulk | GGA-PBE | relaxed; distance to the lowest polymorph of the same formula = 0.0 kJ per mole of atoms
1.0
4.790 0.000 0.000
0.000 4.790 0.000
0.000 0.000 4.843
Se As Au Si
2 1 1 1
direct
0.000 0.500 0.000 Se
0.500 0.000 0.000 Se
0.000 0.000 0.500 As
0.500 0.500 0.500 Au
0.000 0.000 0.000 Si

***

For the records above, the corresponding ΔE_f (raw) values read 0.100, 0.320, 0.908, 0.626 eV/atom.
For the records above, the corresponding magnetic moment values read 0.0, 0.0, 0.0, 0.0 μB/cell.
For the records above, the corresponding mass density values read 8.5, 9.7, 5.9, 6.8 g/cm3.